(1)
Tb3Er2Sc4 PBE optimized geometry; space group = No. 15; DFT formation energy = 0.1174 eV per atom
1.0
7.989 -5.561 0.000
7.989 5.561 0.000
-0.731 0.000 5.717
Tb Er Sc
6 4 8
Cartesian
7.441 4.286 4.287
4.753 1.167 5.111
5.118 -1.167 2.252
10.129 1.167 3.464
10.494 -1.167 0.606
7.806 -4.286 1.429
5.853 4.110 1.110
9.760 4.110 1.749
5.487 -4.110 3.968
9.394 -4.110 4.607
3.372 1.538 1.974
6.897 1.445 2.697
3.007 -1.538 4.832
8.716 1.445 0.161
6.531 -1.445 5.556
12.240 1.538 0.885
8.350 -1.445 3.019
11.875 -1.538 3.743


(2)
CeSm4Tm6 PBE optimized geometry; space group = No. 121; DFT formation energy = 0.3167 eV per atom
1.0
-3.288 3.288 8.397
3.288 -3.288 8.397
3.288 3.288 -8.397
Ce Sm Tm
1 4 6
Cartesian
0.000 0.000 0.000
2.042 -2.042 5.473
1.247 1.247 2.925
-2.042 2.042 5.473
2.042 2.042 11.322
3.288 0.000 0.000
2.089 2.089 -2.114
1.200 -1.200 10.511
0.000 3.288 0.000
1.200 1.200 6.284
-1.200 1.200 10.511


(3)
TbHo2ErTm6 PBE optimized geometry; space group = No. 15; DFT formation energy = 0.1229 eV per atom
1.0
4.456 -7.406 0.000
4.456 7.406 0.000
-1.239 0.000 9.324
Tb Ho Er Tm
2 4 2 12
Cartesian
3.526 7.061 6.993
4.146 -7.061 2.331
1.550 0.789 5.080
2.170 -0.789 0.418
5.503 0.789 8.906
6.122 -0.789 4.244
4.146 1.349 2.331
3.526 -1.349 6.993
1.784 4.076 6.380
3.832 4.625 0.532
4.460 4.625 4.130
2.449 1.588 8.215
5.269 4.076 7.606
4.604 1.588 5.770
3.068 -1.588 3.554
2.404 -4.076 1.718
5.224 -1.588 1.108
3.213 -4.625 5.194
3.840 -4.625 8.792
5.888 -4.076 2.944